# 1
GaFeIr2 (GGA-PBE, optimized geometry); calculated total energy = -0.2652 hartree per atom
1.0
4.122 0.000 0.000
-2.061 3.570 0.000
0.000 0.000 7.872
Ga Fe Ir
2 2 4
direct
0.000 0.000 0.250
0.000 0.000 0.750
0.333 0.667 0.250
0.667 0.333 0.750
0.333 0.667 0.582
0.333 0.667 0.918
0.667 0.333 0.082
0.667 0.333 0.418

# 2
Ba2Zn2O5 (GGA-PBE, optimized geometry); calculated total energy = -0.1881 hartree per atom
1.0
3.974 0.000 0.000
0.000 3.974 0.000
0.000 0.000 8.384
Ba Zn O
2 2 5
direct
0.000 0.000 0.000
0.000 0.000 0.500
0.500 0.500 0.234
0.500 0.500 0.766
0.000 0.500 0.277
0.000 0.500 0.723
0.500 0.000 0.277
0.500 0.000 0.723
0.500 0.500 0.000

# 3
MgTePtO (GGA-PBE, optimized geometry); calculated total energy = -0.1797 hartree per atom
1.0
5.410 0.000 0.000
0.000 7.064 0.000
0.000 0.000 7.389
Mg Te Pt O
4 4 4 4
direct
0.250 0.092 0.051
0.250 0.908 0.551
0.750 0.408 0.949
0.750 0.592 0.449
0.243 0.449 0.712
0.257 0.551 0.212
0.743 0.051 0.288
0.757 0.949 0.788
0.077 0.264 0.419
0.423 0.736 0.919
0.577 0.236 0.581
0.923 0.764 0.081
0.094 0.307 0.926
0.406 0.693 0.426
0.594 0.193 0.074
0.906 0.807 0.574

# 4
LuCo2Pb (GGA-PBE, optimized geometry); calculated total energy = -0.1917 hartree per atom
1.0
0.000 3.289 3.289
3.289 0.000 3.289
3.289 3.289 0.000
Lu Co Pb
1 2 1
direct
0.000 0.000 0.000
0.250 0.250 0.250
0.500 0.500 0.500
0.750 0.750 0.750